A relaxed FePbW2N crystal. Source: the Alexandria database, functional GGA-PBE.

abc: 4.4629 4.8544 4.4629
angles: 90.00 90.00 90.00
Last column: nearest neighbours and their distance in Å.
Element x y z (fractional)
Pb  0.0000  0.5000  0.0000  2 Fe 2.43
Fe  0.0000  0.0000  0.0000  4 W 2.23, 2 Pb 2.43
W  0.0000  0.0000  0.5000  2 Fe 2.23
W  0.5000  0.0000  0.0000  2 Fe 2.23
N  0.5000  0.5000  0.5000  4 Pb 3.16, 8 W 3.30

Computed properties:
Space-group type: P4/mmm (123)
Total DFT energy (no corrections) in eV per atom: -6.970


A relaxed FePdN3 crystal. Source: the Alexandria database, functional GGA-PBE.

abc: 3.6541 3.6541 3.6541
angles: 90.00 90.00 90.00
Last column: nearest neighbours and their distance in Å.
Element x y z (fractional)
Fe  0.0000  0.0000  0.0000  6 N 1.83
Pd  0.5000  0.5000  0.5000  12 N 2.58
N  0.0000  0.5000  0.0000  2 Fe 1.83
N  0.0000  0.0000  0.5000  2 Fe 1.83
N  0.5000  0.0000  0.0000  2 Fe 1.83

Computed properties:
Space-group type: Pm-3m (221)
Total DFT energy (no corrections) in eV per atom: -6.352


A relaxed Fe2PdN crystal. Source: the Alexandria database, functional GGA-PBE.

abc: 2.8356 2.8356 6.6157
angles: 77.62 77.62 60.00
Last column: nearest neighbours and their distance in Å.
Element x y z (fractional)
Fe  0.7211  0.7211  0.8368  3 N 1.94
Fe  0.2789  0.2789  0.1632  3 N 1.94
Pd  0.5000  0.5000  0.5000  6 Fe 2.71, 6 Pd 2.84
N  0.0000  0.0000  0.0000  6 Fe 1.94

Computed properties:
Space-group type: R-3m (166)
Total DFT energy (no corrections) in eV per atom: -7.573